# 1
Compound: ScAlSe2
Source: the Alexandria database
Functional: meta-GGA SCAN
Structure: PBEsol geometry

Summary:
Its crystal system is tetragonal. Its uncorrected formation energy is -0.81 eV per atom. The value obtained for the energy is -16.344 eV/atom.

The structure in POSCAR format:
```
ScAlSe2
1.0
-3.239 0.143 -5.251
-3.325 -2.759 4.406
1.335 5.761 1.764
Sc Al Se
2 2 4
direct
0.000 0.000 0.000 Sc
0.500 0.750 0.250 Sc
0.000 0.500 0.500 Al
0.500 0.250 0.750 Al
0.988 0.875 0.363 Se
0.012 0.375 0.887 Se
0.512 0.637 0.625 Se
0.488 0.113 0.125 Se
```

---

# 2
Compound: TlTc2Au
Source: the Alexandria database
Functional: meta-GGA SCAN
Structure: PBEsol geometry

Summary:
The energy above the lowest structure with this stoichiometry is 0.482 eV/atom. Its crystal system is orthorhombic. The energy relative to the elements is 0.735 eV per atom. The value obtained for the energy is -52.174 eV/atom.

The structure in POSCAR format:
```
TlTc2Au
1.0
3.161 0.000 0.000
0.000 4.491 0.000
-1.580 -2.245 4.682
Au Tc Tl
1 2 1
direct
0.500 0.000 0.000 Au
0.750 0.750 0.501 Tc
0.250 0.250 0.499 Tc
0.000 0.500 0.000 Tl
```

---

# 3
Compound: Be3Os4
Source: the Alexandria database
Functional: meta-GGA SCAN
Structure: PBEsol geometry

Summary:
Its crystal system is tetragonal. The energy relative to the elements is -0.261 eV per atom. The value obtained for the energy is -43.202 eV/atom.

The structure in POSCAR format:
```
Be3Os4
1.0
2.783 0.000 0.000
0.000 2.783 0.000
-1.392 -1.392 10.234
Be Os
3 4
direct
0.000 0.000 0.000 Be
0.724 0.724 0.449 Be
0.276 0.276 0.551 Be
0.846 0.846 0.692 Os
0.154 0.154 0.308 Os
0.569 0.569 0.138 Os
0.431 0.431 0.862 Os
```